No. 1
Material: K3Rb3Sr
Method: DFT, GGA-PBE
State: relaxed

- DOS at the Fermi energy (states/eV per cell) = 11.270
- DFT formation energy (eV/atom) = 0.40
- VASP energy (eV per atom) = -0.726

abc: 11.2806 11.2806 11.2806
angles: 90.00 90.00 90.00
Closest atoms and distances in Å follow each position.
Space group Pm-3n (No. 223)
Asymmetric unit:
K 0.0000 0.2500 0.5000  4 Rb 3.99
Rb 0.0000 0.5000 0.2500  4 K 3.99
Sr 0.0000 0.0000 0.0000  none within 6

---

No. 2
Material: K2RbSr2
Method: DFT, GGA-PBE
State: relaxed

- DOS at the Fermi energy (states/eV per cell) = 11.055
- ΔE to the lowest computed polymorph (meV per atom) = 33
- DFT formation energy (eV/atom) = 0.20
- VASP energy (eV per atom) = -1.108

abc: 5.8240 5.8240 21.5183
angles: 90.00 90.00 90.00
Closest atoms and distances in Å follow each position.
Space group I4/mmm (No. 139)
Asymmetric unit:
K 0.0000 0.0000 0.0989  1 K 4.26, 4 Sr 4.36, 4 Rb 4.64
Rb 0.0000 0.0000 0.5000  8 K 4.64
Sr 0.0000 0.5000 0.2500  4 Sr 4.12, 4 K 4.36

---

No. 3
Material: KRb2Sr2
Method: DFT, GGA-PBE
State: relaxed

- DOS at the Fermi energy (states/eV per cell) = 12.300
- ΔE to the lowest computed polymorph (meV per atom) = 87
- DFT formation energy (eV/atom) = 0.29
- VASP energy (eV per atom) = -0.990

abc: 5.7899 5.7899 22.9937
angles: 90.00 90.00 90.00
Closest atoms and distances in Å follow each position.
Space group I4/mmm (No. 139)
Asymmetric unit:
K 0.0000 0.0000 0.0000  8 Sr 4.59
Rb 0.0000 0.5000 0.2500  4 Rb 4.09
Sr 0.0000 0.0000 0.4097  1 Sr 4.15, 4 K 4.59

---

No. 4
Material: K8Rb6Sr
Method: DFT, GGA-PBE
State: relaxed

- DOS at the Fermi energy (states/eV per cell) = 11.164
- DFT formation energy (eV/atom) = 0.08
- VASP energy (eV per atom) = -1.005

abc: 13.2627 13.2627 7.9090
angles: 90.00 90.00 120.00
Closest atoms and distances in Å follow each position.
Space group P-3 (No. 147)
Asymmetric unit:
K 0.0259 0.3269 0.0008  3 K 4.17-4.31, 2 Rb 4.46
K 0.3333 0.6667 0.9987  6 K 4.31-4.81
Rb 0.1473 0.7168 0.4992  6 K 4.46-4.96, 2 Rb 4.95
Sr 0.0000 0.0000 0.5000  6 Rb 5.03

---

No. 5
Material: KRb2Sr2
Method: DFT, GGA-PBE
State: relaxed

- DOS at the Fermi energy (states/eV per cell) = 8.485
- ΔE to the lowest computed polymorph (meV per atom) = 0
- DFT formation energy (eV/atom) = 0.20
- VASP energy (eV per atom) = -1.078

abc: 12.7962 12.7962 4.6232
angles: 90.00 90.00 90.00
Closest atoms and distances in Å follow each position.
Space group P4/mbm (No. 127)
Asymmetric unit:
K 0.0000 0.0000 0.0000  2 K 4.62, 4 Sr 5.14
Rb 0.1788 0.3212 0.5000  6 Sr 4.39-4.49, 2 Rb 4.62
Sr 0.1151 0.6151 0.0000  3 Sr 4.17-4.62, 6 Rb 4.39-4.49

---

No. 6
Material: K12Rb7Sr
Method: DFT, GGA-PBE
State: relaxed

- DOS at the Fermi energy (states/eV per cell) = 53.695
- DFT formation energy (eV/atom) = 0.06
- VASP energy (eV per atom) = -1.017

abc: 16.4555 16.4555 20.5724
angles: 90.00 90.00 120.00
Closest atoms and distances in Å follow each position.
Space group R-3 (No. 148, hexagonal axes)
Asymmetric unit:
K 0.0478 0.1836 0.3011  4 Rb 4.68-5.07, 5 K 4.70-5.03
K 0.0607 0.5867 0.5857  4 Rb 4.32-4.79, 1 Sr 4.33, 2 K 4.34-4.75
Rb 0.0000 0.0000 0.5000  6 Rb 4.77, 6 K 4.91
Rb 0.0128 0.4440 0.2106  5 K 4.32-4.79, 1 Rb 4.77
Sr 0.0000 0.0000 0.0000  6 K 4.33

---

No. 7
Material: K2RbSr2
Method: DFT, GGA-PBE
State: relaxed

- DOS at the Fermi energy (states/eV per cell) = 12.247
- ΔE to the lowest computed polymorph (meV per atom) = 97
- DFT formation energy (eV/atom) = 0.26
- VASP energy (eV per atom) = -1.045

abc: 5.6584 5.6584 22.7107
angles: 90.00 90.00 90.00
Closest atoms and distances in Å follow each position.
Space group I4/mmm (No. 139)
Asymmetric unit:
K 0.0000 0.5000 0.2500  4 K 4.00
Rb 0.0000 0.0000 0.0000  8 Sr 4.55
Sr 0.0000 0.0000 0.4049  1 Sr 4.32, 4 K 4.51, 4 Rb 4.55

---

No. 8
Material: K4RbSr2
Method: DFT, GGA-PBE
State: relaxed

- DOS at the Fermi energy (states/eV per cell) = 16.179
- DFT formation energy (eV/atom) = 0.32
- VASP energy (eV per atom) = -0.921

abc: 7.4716 7.4716 21.5622
angles: 90.00 90.00 90.00
Closest atoms and distances in Å follow each position.
Space group I4/mmm (No. 139)
Asymmetric unit:
K 0.0000 0.0000 0.1954  1 Rb 4.21, 1 Sr 4.39
K 0.0000 0.5000 0.0000  2 Rb 3.74
Rb 0.0000 0.0000 0.0000  4 K 3.74
Sr 0.0000 0.0000 0.3987  5 K 4.33-4.39, 1 Sr 4.37

---

No. 9
Material: K6Rb3Sr
Method: DFT, GGA-PBE
State: relaxed

- DOS at the Fermi energy (states/eV per cell) = 15.310
- DFT formation energy (eV/atom) = 0.04
- VASP energy (eV per atom) = -1.076

abc: 18.6759 4.6393 19.5009
angles: 90.00 115.09 90.00
Closest atoms and distances in Å follow each position.
Space group P2_1/m (No. 11)
Asymmetric unit:
K 0.0350 0.2500 0.2713  7 K 4.32-4.64, 2 Sr 4.57, 2 Rb 4.78
K 0.1556 0.2500 0.7077  6 K 4.41-4.64, 3 Sr 4.53-4.59, 2 Rb 4.87
K 0.2016 0.7500 0.1976  8 K 4.57-4.95, 3 Rb 4.59-4.80
K 0.2757 0.2500 0.4427  5 K 4.32-4.66, 2 Sr 4.56, 3 Rb 4.71-4.73
K 0.3459 0.7500 0.6693  1 Sr 4.55, 7 K 4.56-4.66, 3 Rb 4.69-4.73
K 0.3967 0.2500 0.1419  5 K 4.64-4.82, 6 Rb 4.77-5.05
Rb 0.1151 0.2500 0.9602  2 Rb 4.64, 5 K 4.78-4.94
Rb 0.3646 0.7500 0.9169  2 Rb 4.64, 6 K 4.69-5.05
Rb 0.4586 0.7500 0.3770  8 K 4.59-4.82, 4 Rb 4.64-4.95
Sr 0.0912 0.7500 0.4902  4 Sr 4.27-4.64, 8 K 4.53-4.59

---

No. 10
Material: K8Rb4Sr
Method: DFT, GGA-PBE
State: relaxed

- DOS at the Fermi energy (states/eV per cell) = 20.145
- DFT formation energy (eV/atom) = 0.04
- VASP energy (eV per atom) = -1.064

abc: 12.9996 7.5589 20.5193
angles: 90.00 103.21 90.00
Closest atoms and distances in Å follow each position.
Space group Cm (No. 8)
Asymmetric unit:
K 0.0000 0.0000 0.0000  1 Sr 4.53, 3 K 4.61-4.62, 4 Rb 4.62-4.65
K 0.0312 0.5000 0.6069  4 K 4.59-4.79, 4 Rb 4.61-4.71
K 0.1126 0.5000 0.8466  4 K 4.60-4.79, 4 Rb 4.62-4.70
K 0.1497 0.0000 0.4535  1 Sr 4.53, 3 K 4.60-4.65, 4 Rb 4.62-4.68
K 0.2688 0.5000 0.3027  4 Rb 4.41-4.58, 1 K 4.56, 3 Sr 4.60-4.62
K 0.3058 0.0000 0.9222  7 K 4.56-4.62, 1 Rb 4.75
K 0.3403 0.5000 0.5310  7 K 4.56-4.65, 1 Rb 4.75
K 0.3850 0.0000 0.1503  4 Rb 4.42-4.56, 1 K 4.56, 3 Sr 4.60-4.62
Rb 0.1949 0.5000 0.0818  8 K 4.41-4.70
Rb 0.2236 0.0000 0.6846  5 K 4.61-4.75, 3 Rb 4.66-4.67
Rb 0.4190 0.5000 0.7688  5 K 4.62-4.75, 3 Rb 4.66-4.67
Rb 0.4573 0.0000 0.3714  8 K 4.42-4.71
Sr 0.0769 0.0000 0.2266  8 K 4.53-4.62

---

No. 11
Material: K2RbSr2
Method: DFT, GGA-PBE
State: relaxed

- DOS at the Fermi energy (states/eV per cell) = 6.542
- ΔE to the lowest computed polymorph (meV per atom) = 3
- DFT formation energy (eV/atom) = 0.17
- VASP energy (eV per atom) = -1.139

abc: 12.4970 12.4970 4.5150
angles: 90.00 90.00 90.00
Closest atoms and distances in Å follow each position.
Space group P4/mbm (No. 127)
Asymmetric unit:
K 0.1728 0.3272 0.0000  6 Sr 4.30-4.35, 2 K 4.52, 2 Rb 4.62
Rb 0.0000 0.0000 0.0000  2 Rb 4.52, 4 K 4.62
Sr 0.1200 0.6200 0.5000  3 Sr 4.24-4.52, 6 K 4.30-4.35

---

No. 12
Material: KRbSr3
Method: DFT, GGA-PBE
State: relaxed

- DOS at the Fermi energy (states/eV per cell) = 5.453
- ΔE to the lowest computed polymorph (meV per atom) = 0
- DFT formation energy (eV/atom) = 0.50
- VASP energy (eV per atom) = -0.926

abc: 7.3247 7.3247 7.3247
angles: 90.00 90.00 90.00
Closest atoms and distances in Å follow each position.
Space group Pm-3m (No. 221)
Asymmetric unit:
K 0.0000 0.0000 0.0000  6 Sr 3.66
Rb 0.5000 0.5000 0.5000  12 Sr 5.18
Sr 0.0000 0.0000 0.5000  2 K 3.66

---

No. 13
Material: KRb2Sr
Method: DFT, GGA-PBE
State: relaxed

- DOS at the Fermi energy (states/eV per cell) = 8.498
- ΔE to the lowest computed polymorph (meV per atom) = 2
- DFT formation energy (eV/atom) = 0.08
- VASP energy (eV per atom) = -1.096

abc: 4.9770 7.4834 15.7596
angles: 90.00 90.00 90.00
Closest atoms and distances in Å follow each position.
Space group Cmmm (No. 65)
Asymmetric unit:
K 0.0000 0.0000 0.0000  6 K 4.49-4.98, 4 Rb 4.76
Rb 0.0000 0.5000 0.2576  6 Rb 4.49-4.98, 2 Sr 4.56, 2 K 4.76
Sr 0.0000 0.0000 0.5000  6 Sr 4.49-4.98, 4 Rb 4.56

---

No. 14
Material: K6Rb12Sr
Method: DFT, GGA-PBE
State: relaxed

- DOS at the Fermi energy (states/eV per cell) = 56.801
- DFT formation energy (eV/atom) = 0.04
- VASP energy (eV per atom) = -1.008

abc: 16.4704 16.4704 20.6354
angles: 90.00 90.00 120.00
Closest atoms and distances in Å follow each position.
Space group R-3 (No. 148, hexagonal axes)
Asymmetric unit:
K 0.0351 0.4431 0.2028  1 Sr 4.49, 2 K 4.67, 6 Rb 4.76-4.89
Rb 0.0354 0.1851 0.3128  5 Rb 4.71-5.21, 1 Sr 4.77, 5 K 4.82-5.11
Rb 0.0627 0.8491 0.9118  4 K 4.76-5.05, 5 Rb 4.80-5.21
Sr 0.0000 0.0000 0.5000  6 K 4.49, 6 Rb 4.77

---

No. 15
Material: K5RbSr2
Method: DFT, GGA-PBE
State: relaxed

- DOS at the Fermi energy (states/eV per cell) = 15.985
- DFT formation energy (eV/atom) = 0.08
- VASP energy (eV per atom) = -1.152

abc: 6.2361 6.2361 28.2105
angles: 90.00 90.00 90.00
Closest atoms and distances in Å follow each position.
Space group I4/mmm (No. 139)
Asymmetric unit:
K 0.0000 0.0000 0.0000  4 Rb 4.41, 8 K 4.87
K 0.0000 0.5000 0.1326  6 K 4.41-4.87, 4 Sr 4.55, 2 Rb 4.87
Rb 0.0000 0.0000 0.5000  12 K 4.41-4.87
Sr 0.0000 0.0000 0.2500  4 Sr 4.41, 8 K 4.55

---

No. 16
Material: KRb2Sr
Method: DFT, GGA-PBE
State: relaxed

- DOS at the Fermi energy (states/eV per cell) = 4.308
- ΔE to the lowest computed polymorph (meV per atom) = 13
- DFT formation energy (eV/atom) = 0.09
- VASP energy (eV per atom) = -1.085

abc: 4.5390 4.5390 14.4640
angles: 90.00 90.00 90.00
Closest atoms and distances in Å follow each position.
Space group P4/mmm (No. 123)
Asymmetric unit:
K 0.0000 0.0000 0.0000  4 K 4.54, 8 Rb 4.93
Rb 0.5000 0.5000 0.2590  4 Rb 4.54, 4 Sr 4.74, 4 K 4.93
Sr 0.0000 0.0000 0.5000  4 Sr 4.54, 8 Rb 4.74

---

No. 17
Material: KRb2Sr2
Method: DFT, GGA-PBE
State: relaxed

- DOS at the Fermi energy (states/eV per cell) = 8.951
- ΔE to the lowest computed polymorph (meV per atom) = 8
- DFT formation energy (eV/atom) = 0.21
- VASP energy (eV per atom) = -1.070

abc: 12.8707 12.8707 4.5530
angles: 90.00 90.00 90.00
Closest atoms and distances in Å follow each position.
Space group P4/mbm (No. 127)
Asymmetric unit:
K 0.0000 0.0000 0.0000  2 K 4.55, 4 Rb 4.74
Rb 0.1770 0.3230 0.0000  6 Sr 4.40-4.47, 2 Rb 4.55, 2 K 4.74
Sr 0.1159 0.6159 0.5000  3 Sr 4.22-4.55, 6 Rb 4.40-4.47

---

No. 18
Material: K3Rb12Sr
Method: DFT, GGA-PBE
State: relaxed

- DOS at the Fermi energy (states/eV per cell) = 14.294
- DFT formation energy (eV/atom) = 0.04
- VASP energy (eV per atom) = -0.999

abc: 7.0072 7.0072 27.4709
angles: 90.00 90.00 90.00
Closest atoms and distances in Å follow each position.
Space group P4/mmm (No. 123)
Asymmetric unit:
K 0.0000 0.0000 0.0000  12 Rb 4.94-4.95
K 0.0000 0.0000 0.2538  12 Rb 4.92-4.95
Rb 0.0000 0.5000 0.1265  8 Rb 4.93-4.95, 4 K 4.94-4.95
Rb 0.0000 0.5000 0.3794  8 Rb 4.82-4.95, 2 Sr 4.82, 2 K 4.92
Rb 0.5000 0.5000 0.0000  8 Rb 4.94, 4 K 4.95
Rb 0.5000 0.5000 0.2528  8 Rb 4.93-4.94, 4 K 4.95
Rb 0.5000 0.5000 0.5000  8 Rb 4.82, 4 Sr 4.95
Sr 0.0000 0.0000 0.5000  12 Rb 4.82-4.95

---

No. 19
Material: KRb2Sr
Method: DFT, GGA-PBE
State: relaxed

- DOS at the Fermi energy (states/eV per cell) = 17.743
- ΔE to the lowest computed polymorph (meV per atom) = 130
- DFT formation energy (eV/atom) = 0.21
- VASP energy (eV per atom) = -0.969

abc: 11.8404 11.8404 8.9558
angles: 90.00 90.00 90.00
Closest atoms and distances in Å follow each position.
Space group I-42d (No. 122)
Asymmetric unit:
K 0.0000 0.0000 0.0000  4 Rb 4.22, 2 Sr 4.48
Rb 0.2356 0.7500 0.1250  2 K 4.22, 2 Sr 4.45, 2 Rb 4.49
Sr 0.0000 0.0000 0.5000  4 Rb 4.45, 2 K 4.48

---

No. 20
Material: K3RbSr
Method: DFT, GGA-PBE
State: relaxed

- DOS at the Fermi energy (states/eV per cell) = 4.682
- ΔE to the lowest computed polymorph (meV per atom) = 32
- DFT formation energy (eV/atom) = 0.36
- VASP energy (eV per atom) = -0.830

abc: 7.4512 7.4512 7.4512
angles: 90.00 90.00 90.00
Closest atoms and distances in Å follow each position.
Space group Pm-3m (No. 221)
Asymmetric unit:
K 0.0000 0.0000 0.5000  2 Rb 3.73
Rb 0.0000 0.0000 0.0000  6 K 3.73
Sr 0.5000 0.5000 0.5000  12 K 5.27